1.
VASP calculation (PBE-GGA) on crystalline Hf4AlNi at its relaxed geometry.

Values from the calculation:
distance to the lowest polymorph of the same formula = 0.31 eV per formula unit
energy of formation from the pure elements = -0.2087 eV/atom

a b c (Å): 7.8279 12.2637 5.1777
angles (deg): 90.00 109.34 90.00
Space group C2/c (No. 15)
Symmetry-distinct sites (fractional):
Hf (0.1102, 0.1848, 0.0677) (multiplicity 8)
Hf (0.2108, 0.4182, 0.3403) (multiplicity 8)
Al (0.0000, 0.3808, 0.7500) (multiplicity 4)
Ni (0.0000, 0.0020, 0.7500) (multiplicity 4)



2.
VASP calculation (PBE-GGA) on crystalline TlCuOs2W at its relaxed geometry.

Values from the calculation:
energy of formation from the pure elements = 2.1634 eV/atom

a b c (Å): 4.5238 4.5238 4.5018
angles (deg): 90.00 90.00 90.00
Space group P4/mmm (No. 123)
Symmetry-distinct sites (fractional):
Tl (0.0000, 0.0000, 0.0000) (multiplicity 1)
Cu (0.0000, 0.0000, 0.5000) (multiplicity 1)
Os (0.0000, 0.5000, 0.5000) (multiplicity 2)
W (0.5000, 0.5000, 0.0000) (multiplicity 1)



3.
VASP calculation (PBE-GGA) on crystalline Si3Ir4 at its relaxed geometry.

Values from the calculation:
distance to the lowest polymorph of the same formula = 4.40 eV per formula unit
energy relative to the elements, uncorrected = 0.3205 eV/atom

a b c (Å): 4.5563 4.5563 5.4146
angles (deg): 90.00 90.00 120.00
Space group P6/mmm (No. 191)
Symmetry-distinct sites (fractional):
Si (0.0000, 0.5000, 0.0000) (multiplicity 3)
Ir (0.0000, 0.0000, 0.2509) (multiplicity 2)
Ir (0.3333, 0.6667, 0.5000) (multiplicity 2)



4.
VASP calculation (PBE-GGA) on crystalline LiPaPO6 at its relaxed geometry.

Values from the calculation:
energy relative to the elements, uncorrected = -2.3357 eV/atom

a b c (Å): 4.7248 4.7248 9.0860
angles (deg): 90.00 90.00 90.00
Space group P4_2nm (No. 102)
Symmetry-distinct sites (fractional):
Li (0.0000, 0.0000, 0.0000) (multiplicity 2)
Pa (0.0000, 0.0000, 0.3368) (multiplicity 2)
P (0.0000, 0.0000, 0.6785) (multiplicity 2)
O (0.1768, 0.1768, 0.8172) (multiplicity 4)
O (0.1781, 0.1781, 0.5431) (multiplicity 4)
O (0.2451, 0.2451, 0.1804) (multiplicity 4)



Q: Which DOS at the Fermi energy values were calculated for the entries above? A: 6.8, 8.0, 4.5, 5.2, in states/eV/f.u..
Q: Which total energy values were calculated for the entries above? A: -0.620, -0.457, -0.519, -0.552, in Ry per atom.